1.
Below is a geometry-optimized LiCr2SnN structure, with properties calculated at the PBE level.

Calculated values
Raw formation energy, eV/atom: -0.279
SG: No. 123

abc: 3.927 3.927 4.112
angles: 90.00 90.00 90.00
Site moments in Bohr magnetons follow the coordinates.
Element x y z (fractional)
N 0.000 0.000 0.000  -0.15
Cr 0.000 0.500 0.000  1.87
Cr 0.500 0.000 0.000  1.87
Sn 0.500 0.500 0.500  -0.15
Li 0.000 0.000 0.500  -0.02

2.
Below is a geometry-optimized Sr2LiCr2N4 structure, with properties calculated at the PBE level.

Calculated values
Raw formation energy, eV/atom: -0.643
SG: No. 12

abc: 3.263 6.735 5.893
angles: 109.72 90.00 104.02
Element x y z (fractional)
Sr 0.878 0.756 0.502
Sr 0.122 0.244 0.498
N 0.545 0.090 0.786
N 0.455 0.910 0.214
N 0.222 0.444 0.185
N 0.778 0.556 0.815
Cr 0.677 0.353 0.992
Cr 0.323 0.647 0.008
Li 0.000 0.000 0.000

3.
Below is a geometry-optimized SrLi2CrN4 structure, with properties calculated at the PBE level.

Calculated values
Raw formation energy, eV/atom: -0.322
SG: No. 121

abc: 5.424 5.222 5.222
angles: 85.47 58.71 58.71
Site moments in Bohr magnetons follow the coordinates.
Element x y z (fractional)
N 0.000 0.826 0.543  0.39
N 0.631 0.543 0.826  0.39
N 0.000 0.457 0.174  0.39
N 0.369 0.174 0.457  0.39
Cr 0.000 0.500 0.500  -0.30
Li 0.500 0.250 0.750  0.02
Li 0.500 0.750 0.250  0.02
Sr 0.000 0.000 0.000  0.03

4.
Below is a geometry-optimized SrLi2CrN3 structure, with properties calculated at the PBE level.

Calculated values
Raw formation energy, eV/atom: -0.814
SG: No. 61

abc: 7.361 9.166 10.597
angles: 90.00 90.00 90.00
Element x y z (fractional)
Li 0.905 0.115 0.220
Li 0.290 0.123 0.184
Li 0.790 0.877 0.316
Li 0.905 0.615 0.280
Li 0.710 0.377 0.684
Li 0.210 0.623 0.816
Li 0.095 0.385 0.720
Li 0.405 0.385 0.220
Li 0.790 0.377 0.184
Li 0.095 0.885 0.780
Li 0.595 0.615 0.780
Li 0.595 0.115 0.720
Li 0.210 0.123 0.684
Li 0.405 0.885 0.280
Li 0.710 0.877 0.816
Li 0.290 0.623 0.316
Sr 0.917 0.691 0.583
Sr 0.083 0.309 0.417
Sr 0.583 0.191 0.417
Sr 0.083 0.809 0.083
Sr 0.417 0.809 0.583
Sr 0.583 0.691 0.083
Sr 0.917 0.191 0.917
Sr 0.417 0.309 0.917
N 0.791 0.950 0.127
N 0.104 0.433 0.905
N 0.604 0.067 0.905
N 0.291 0.050 0.373
N 0.396 0.933 0.095
N 0.209 0.050 0.873
N 0.927 0.716 0.845
N 0.791 0.450 0.373
N 0.104 0.933 0.595
N 0.896 0.567 0.095
N 0.073 0.784 0.345
N 0.073 0.284 0.155
N 0.604 0.567 0.595
N 0.896 0.067 0.405
N 0.573 0.716 0.345
N 0.709 0.950 0.627
N 0.209 0.550 0.627
N 0.573 0.216 0.155
N 0.427 0.784 0.845
N 0.427 0.284 0.655
N 0.927 0.216 0.655
N 0.291 0.550 0.127
N 0.396 0.433 0.405
N 0.709 0.450 0.873
Cr 0.895 0.048 0.582
Cr 0.395 0.952 0.918
Cr 0.605 0.048 0.082
Cr 0.895 0.548 0.918
Cr 0.605 0.548 0.418
Cr 0.105 0.452 0.082
Cr 0.105 0.952 0.418
Cr 0.395 0.452 0.582